Computed, not measured: a geometry-optimized ZrAu3S structure at the GGA-PBE level of DFT.

E_form (uncorrected) = 485 meV per atom
Space group = No. 221

Cell: 4.7459 4.7459 4.7459 Å, 90.00 90.00 90.00°
Last column: nearest neighbours and their distance in Å.
Fractional positions:
S (0.0000, 0.0000, 0.0000)  6 Au 2.37
Au (0.0000, 0.5000, 0.0000)  2 S 2.37
Au (0.0000, 0.0000, 0.5000)  2 S 2.37
Au (0.5000, 0.0000, 0.0000)  2 S 2.37
Zr (0.5000, 0.5000, 0.5000)  12 Au 3.36